Record 1
# MgBi2MoP, optimized geometry, DFT GGA-PBE
data_MgBi2MoP
_symmetry_space_group_name_H-M 'P 4/m m m'
_symmetry_Int_Tables_number 123
_symmetry_space_group_name_Hall '-P 4 2'
_cell_length_a 5.289
_cell_length_b 5.289
_cell_length_c 5.218
_cell_angle_alpha 90.00
_cell_angle_beta 90.00
_cell_angle_gamma 90.00
loop_
_atom_site_label
_atom_site_type_symbol
_atom_site_fract_x
_atom_site_fract_y
_atom_site_fract_z
_atom_site_occupancy
Mg1 Mg 0.000 0.000 0.000 1
Bi1 Bi 0.000 0.500 0.500 1
Mo1 Mo 0.000 0.000 0.500 1
P1 P 0.500 0.500 0.000 1
# Theoretical density in g/cm³: 6.5
# DFT total energy in eV/f.u.: -21.1

Record 2
# Mg3Bi3N5, optimized geometry, DFT GGA-PBE
data_Mg3Bi3N5
_symmetry_space_group_name_H-M 'P -1'
_symmetry_Int_Tables_number 2
_symmetry_space_group_name_Hall '-P 1'
_cell_length_a 6.171
_cell_length_b 7.890
_cell_length_c 8.729
_cell_angle_alpha 98.23
_cell_angle_beta 104.24
_cell_angle_gamma 93.86
loop_
_atom_site_label
_atom_site_type_symbol
_atom_site_fract_x
_atom_site_fract_y
_atom_site_fract_z
_atom_site_occupancy
Mg1 Mg 0.107 0.187 0.050 1
Mg2 Mg 0.130 0.392 0.740 1
Mg3 Mg 0.275 0.480 0.413 1
Bi1 Bi 0.227 0.989 0.390 1
Bi2 Bi 0.280 0.757 0.717 1
Bi3 Bi 0.361 0.598 0.115 1
N1 N 0.007 0.369 0.221 1
N2 N 0.142 0.733 0.446 1
N3 N 0.145 0.953 0.144 1
N4 N 0.322 0.341 0.959 1
N5 N 0.414 0.497 0.661 1
# Formation energy without anion corrections in kJ per mole of atoms: 5.31
# Theoretical density in g/cm³: 6.3

Record 3
# MgBi2N, optimized geometry, DFT GGA-PBE
data_MgBi2N
_symmetry_space_group_name_H-M 'I -4 2 d'
_symmetry_Int_Tables_number 122
_symmetry_space_group_name_Hall 'I -4 2bw'
_cell_length_a 7.685
_cell_length_b 7.685
_cell_length_c 6.592
_cell_angle_alpha 90.00
_cell_angle_beta 90.00
_cell_angle_gamma 90.00
loop_
_atom_site_label
_atom_site_type_symbol
_atom_site_fract_x
_atom_site_fract_y
_atom_site_fract_z
_atom_site_occupancy
Mg1 Mg 0.000 0.000 0.000 1
Bi1 Bi 0.153 0.750 0.625 1
N1 N 0.000 0.000 0.500 1
# Formation energy without anion corrections in kJ per mole of atoms: 53.14
# Theoretical density in g/cm³: 7.8

Record 4
# Mg4Bi3N, optimized geometry, DFT GGA-PBE
data_Mg4Bi3N
_symmetry_space_group_name_H-M 'I -4 2 m'
_symmetry_Int_Tables_number 121
_symmetry_space_group_name_Hall 'I -4 2'
_cell_length_a 5.774
_cell_length_b 5.774
_cell_length_c 13.886
_cell_angle_alpha 90.00
_cell_angle_beta 90.00
_cell_angle_gamma 90.00
loop_
_atom_site_label
_atom_site_type_symbol
_atom_site_fract_x
_atom_site_fract_y
_atom_site_fract_z
_atom_site_occupancy
Mg1 Mg 0.188 0.188 0.411 1
Bi1 Bi 0.000 0.000 0.000 1
Bi2 Bi 0.000 0.500 0.250 1
N1 N 0.000 0.000 0.500 1
# Formation energy without anion corrections in kJ per mole of atoms: -8.31
# Theoretical density in g/cm³: 5.3

Record 5
# Mg12Bi3N5, optimized geometry, DFT GGA-PBE
data_Mg12Bi3N5
_symmetry_space_group_name_H-M 'I a -3 d'
_symmetry_Int_Tables_number 230
_symmetry_space_group_name_Hall '-I 4bd 2c 3'
_cell_length_a 14.444
_cell_length_b 14.444
_cell_length_c 14.444
_cell_angle_alpha 90.00
_cell_angle_beta 90.00
_cell_angle_gamma 90.00
loop_
_atom_site_label
_atom_site_type_symbol
_atom_site_fract_x
_atom_site_fract_y
_atom_site_fract_z
_atom_site_occupancy
Mg1 Mg 0.037 0.041 0.646 1
Bi1 Bi 0.000 0.250 0.125 1
N1 N 0.000 0.000 0.000 1
N2 N 0.000 0.250 0.375 1
# Formation energy without anion corrections in kJ per mole of atoms: -38.32
# Theoretical density in g/cm³: 4.4

Record 6
# Mg2BiN3, optimized geometry, DFT GGA-PBE
data_Mg2BiN3
_symmetry_space_group_name_H-M 'C m c 21'
_symmetry_Int_Tables_number 36
_symmetry_space_group_name_Hall 'C 2c -2'
_cell_length_a 10.564
_cell_length_b 6.058
_cell_length_c 5.593
_cell_angle_alpha 90.00
_cell_angle_beta 90.00
_cell_angle_gamma 90.00
loop_
_atom_site_label
_atom_site_type_symbol
_atom_site_fract_x
_atom_site_fract_y
_atom_site_fract_z
_atom_site_occupancy
Mg1 Mg 0.172 0.163 0.000 1
Bi1 Bi 0.000 0.318 0.492 1
N1 N 0.000 0.330 0.889 1
N2 N 0.169 0.165 0.377 1
# Formation energy without anion corrections in kJ per mole of atoms: -7.64
# Theoretical density in g/cm³: 5.6

Question: Among the records above, which one has the lowest theoretical density?
Answer: Mg12Bi3N5

Question: Which of these has the lowest theoretical density?
Answer: Mg12Bi3N5